The following is a DFT calculation (PBE) of a relaxed structure of Al3VZn.

POSCAR file:
```
Al3VZn
1.0
4.886 0.000 0.000
0.000 4.886 0.000
0.000 0.000 4.886
Al V Zn
3 1 1
Direct
0.000 0.000 0.500
0.000 0.500 0.000
0.500 0.000 0.000
0.000 0.000 0.000
0.500 0.500 0.500
```

Computed properties:
* excess energy over the best structure of this formula in the dataset: 755.4 meV per atom
* SG: Pm-3m
* density of states at the Fermi level: 0.764 states/eV per atom
* magnetization: 3.4 Bohr magnetons per cell
* formation enthalpy at 0 K: 0.774 eV/atom



The following is a DFT calculation (PBE) of a relaxed structure of ZrAl2V2.

POSCAR file:
```
ZrAl2V2
1.0
7.252 0.000 0.000
0.000 7.252 0.000
0.000 0.000 3.105
Zr Al V
2 4 4
Direct
0.000 0.000 0.000
0.500 0.500 0.000
0.124 0.376 0.000
0.376 0.876 0.000
0.624 0.124 0.000
0.876 0.624 0.000
0.173 0.673 0.500
0.327 0.173 0.500
0.673 0.827 0.500
0.827 0.327 0.500
```

Computed properties:
* excess energy over the best structure of this formula in the dataset: 40.3 meV per atom
* SG: P4/mbm
* density of states at the Fermi level: 0.963 states/eV per atom
* magnetization: 0.0 Bohr magnetons per cell
* formation enthalpy at 0 K: -0.142 eV/atom



The following is a DFT calculation (PBE) of a relaxed structure of Zr3AlV8.

POSCAR file:
```
Zr3AlV8
1.0
2.572 1.485 8.473
-2.572 1.485 8.473
0.000 -2.969 8.473
Zr Al V
3 1 8
Direct
0.000 0.000 0.000
0.126 0.126 0.126
0.623 0.623 0.623
0.500 0.500 0.500
0.058 0.566 0.566
0.061 0.061 0.559
0.061 0.559 0.061
0.312 0.312 0.312
0.559 0.061 0.061
0.566 0.058 0.566
0.566 0.566 0.058
0.812 0.812 0.812
```

Computed properties:
* SG: R3m
* density of states at the Fermi level: 1.561 states/eV per atom
* magnetization: 0.0 Bohr magnetons per cell
* formation enthalpy at 0 K: 0.016 eV/atom